Entry 1:
This record from Alexandria via LeMat-Bulk describes an optimized crystal structure of ZrOsCl2. The functional is PBE.

Lattice parameters (Å, degrees): 3.3774 3.7920 7.0322 90.00 96.99 90.00
With the nearest neighbours (Å) after each atom.
Fractional coordinates of all 4 atoms:
Zr (0.0000, 0.0000, 0.0000)  4 Os 2.71-2.72, 3 Cl 2.74-2.89
Os (0.4624, 0.5000, 0.8621)  3 Cl 2.49-2.58, 4 Zr 2.71-2.72
Cl (0.2551, 0.0000, 0.6227)  2 Os 2.58
Cl (0.6736, 0.5000, 0.2146)  1 Os 2.49, 2 Zr 2.74

Output
- total DFT energy (no corrections) (eV/cell) = -24.66
- D(E_F) (states/eV/f.u.) = 0.70
- magnetization (μB/cell) = 0.0
- symmetry = Pm (6)

Entry 2:
This record from Alexandria via LeMat-Bulk describes an optimized crystal structure of ZrOsCl2. The functional is PBE.

Lattice parameters (Å, degrees): 8.5902 8.5902 8.5902 20.78 20.78 20.78
With the nearest neighbours (Å) after each atom.
Fractional coordinates of all 4 atoms:
Zr (0.0000, 0.0000, 0.0000)  6 Cl 2.61
Os (0.5000, 0.5000, 0.5000)  2 Cl 2.30
Cl (0.4086, 0.4086, 0.4086)  1 Os 2.30
Cl (0.5914, 0.5914, 0.5914)  1 Os 2.30

Output
- total DFT energy (no corrections) (eV/cell) = -23.80
- D(E_F) (states/eV/f.u.) = 4.15
- magnetization (μB/cell) = 0.0
- symmetry = R-3m (166)

Entry 3:
This record from Alexandria via LeMat-Bulk describes an optimized crystal structure of ZrOsCl2. The functional is PBE.

Lattice parameters (Å, degrees): 10.7689 10.7689 10.7689 16.35 16.35 16.35
With the nearest neighbours (Å) after each atom.
Fractional coordinates of all 4 atoms:
Zr (0.0000, 0.0000, 0.0000)  6 Cl 2.59
Os (0.5000, 0.5000, 0.5000)  6 Os 3.06
Cl (0.2739, 0.2739, 0.2739)  3 Zr 2.59
Cl (0.7261, 0.7261, 0.7261)  3 Zr 2.59

Output
- total DFT energy (no corrections) (eV/cell) = -23.25
- D(E_F) (states/eV/f.u.) = 3.13
- magnetization (μB/cell) = 2.3
- symmetry = R-3m (166)

Entry 4:
This record from Alexandria via LeMat-Bulk describes an optimized crystal structure of ZrOsCl2. The functional is PBE.

Lattice parameters (Å, degrees): 4.7115 4.7115 4.7115 60.00 60.00 60.00
With the nearest neighbours (Å) after each atom.
Fractional coordinates of all 4 atoms:
Zr (0.0000, 0.0000, 0.0000)  4 Cl 2.89, 4 Os 2.89
Os (0.7500, 0.7500, 0.7500)  4 Zr 2.89, 4 Cl 2.89
Cl (0.2500, 0.2500, 0.2500)  4 Zr 2.89, 4 Cl 2.89
Cl (0.5000, 0.5000, 0.5000)  4 Cl 2.89, 4 Os 2.89

Output
- total DFT energy (no corrections) (eV/cell) = -21.95
- D(E_F) (states/eV/f.u.) = 4.97
- magnetization (μB/cell) = 1.4
- symmetry = F-43m (216)